[1]
The following is a PBE+U calculation of crystalline LiCoSiO4 at its relaxed geometry, from Alexandria via LeMat-Bulk.

Output
Its energy above the most stable polymorph in this dataset is 68 meV per atom.

Cell lengths 8.811, 6.313, 4.858 Å; angles 90.00, 90.00, 90.00 degrees
Space group Pnma (No. 62)
Asymmetric unit:
Li (0.163, 0.250, 0.039) (multiplicity 4)
Co (0.000, 0.000, 0.500) (multiplicity 4)
Si (0.180, 0.750, 0.038) (multiplicity 4)
O (0.122, 0.534, 0.194) (multiplicity 8)
O (0.127, 0.750, 0.715) (multiplicity 4)
O (0.130, 0.250, 0.603) (multiplicity 4)



[2]
The following is a PBE+U calculation of crystalline LiCoSiO4 at its relaxed geometry, from Alexandria via LeMat-Bulk.

Output
Its energy above the most stable polymorph in this dataset is 67 meV per atom.

Cell lengths 4.917, 6.894, 9.726 Å; angles 90.00, 90.00, 90.00 degrees
Space group P2_12_12_1 (No. 19)
Asymmetric unit:
Li (0.106, 0.227, 0.117) (multiplicity 4)
Co (0.009, 0.070, 0.514) (multiplicity 4)
Si (0.069, 0.978, 0.847) (multiplicity 4)
O (0.139, 0.978, 0.683) (multiplicity 4)
O (0.206, 0.775, 0.915) (multiplicity 4)
O (0.238, 0.867, 0.434) (multiplicity 4)
O (0.248, 0.496, 0.121) (multiplicity 4)



[3]
The following is a PBE+U calculation of crystalline LiCoSiO4 at its relaxed geometry, from Alexandria via LeMat-Bulk.

Output
Its energy above the most stable polymorph in this dataset is 38 meV per atom.

Cell lengths 5.3258, 5.3258, 12.1843 Å; angles 90.00, 90.00, 120.00 degrees
Space group P6_422 (No. 181)
Asymmetric unit:
Li (0.0000, 0.0000, 0.0000) (multiplicity 3)
Co (0.0000, 0.5000, 0.8333) (multiplicity 3)
Si (0.0000, 0.5000, 0.3333) (multiplicity 3)
O (0.1887, 0.3937, 0.2599) (multiplicity 12)



[4]
The following is a PBE+U calculation of crystalline LiCoSiO4 at its relaxed geometry, from Alexandria via LeMat-Bulk.

Output
Its energy above the most stable polymorph in this dataset is 37 meV per atom.

Cell lengths 7.462, 7.609, 6.275 Å; angles 90.00, 90.00, 90.00 degrees
Space group C222_1 (No. 20)
Asymmetric unit:
Li (0.181, 0.000, 0.000) (multiplicity 4)
Co (0.000, 0.325, 0.750) (multiplicity 4)
Si (0.179, 0.000, 0.500) (multiplicity 4)
O (0.040, 0.167, 0.531) (multiplicity 8)
O (0.201, 0.470, 0.783) (multiplicity 8)



[5]
The following is a PBE+U calculation of crystalline LiCoSiO4 at its relaxed geometry, from Alexandria via LeMat-Bulk.

Output
Its energy above the most stable polymorph in this dataset is 64 meV per atom.

Cell lengths 5.619, 5.878, 7.846 Å; angles 90.00, 90.00, 90.00 degrees
Space group Imma (No. 74)
Asymmetric unit:
Li (0.250, 0.250, 0.250) (multiplicity 4)
Co (0.000, 0.000, 0.000) (multiplicity 4)
Si (0.000, 0.250, 0.633) (multiplicity 4)
O (0.000, 0.017, 0.753) (multiplicity 8)
O (0.242, 0.250, 0.507) (multiplicity 8)



[6]
The following is a PBE+U calculation of crystalline LiCoSiO4 at its relaxed geometry, from Alexandria via LeMat-Bulk.

Output
Its energy above the most stable polymorph in this dataset is 27 meV per atom.

Cell lengths 10.745, 6.434, 5.093 Å; angles 90.00, 90.00, 90.00 degrees
Space group Pna2_1 (No. 33)
Asymmetric unit:
Li (0.161, 0.019, 0.000) (multiplicity 4)
Co (0.089, 0.281, 0.499) (multiplicity 4)
Si (0.170, 0.520, 0.003) (multiplicity 4)
O (0.082, 0.727, 0.945) (multiplicity 4)
O (0.114, 0.308, 0.865) (multiplicity 4)
O (0.176, 0.488, 0.324) (multiplicity 4)
O (0.187, 0.058, 0.390) (multiplicity 4)